(1)
Entry from Alexandria via LeMat-Bulk: a crystal of Mn2FeRh relaxed with PBEsol (SCAN).

Calculated values
ΔE to the lowest computed polymorph: 88 meV/atom

Cell lengths 2.8288, 4.0852, 4.7927 Å; angles 115.23, 107.16, 90.00 degrees
Last column: nearest neighbours and their distance in Å.
Element x y z (fractional)
Fe 0.7439 0.2439 0.4878  6 Mn 2.45-2.49, 2 Rh 2.54
Mn 0.9992 0.9992 0.9984  2 Mn 2.45, 2 Fe 2.45, 4 Rh 2.48
Mn 0.2558 0.7558 0.5116  2 Mn 2.45, 4 Fe 2.49, 2 Rh 2.52
Rh 0.5011 0.5011 0.0022  6 Mn 2.48-2.52, 2 Fe 2.54

=====

(2)
Entry from Alexandria via LeMat-Bulk: a crystal of ZnPd2Pb2 relaxed with PBEsol (SCAN).

Cell lengths 3.8231, 3.8231, 7.8590 Å; angles 104.08, 104.08, 90.00 degrees
Last column: nearest neighbours and their distance in Å.
Element x y z (fractional)
Zn 0.0000 0.0000 0.0000  8 Pb 3.17
Pb 0.3875 0.3875 0.7751  4 Pd 2.79
Pb 0.6125 0.6125 0.2249  4 Pd 2.79
Pd 0.7500 0.2500 0.5000  4 Pd 2.70, 4 Pb 2.79
Pd 0.2500 0.7500 0.5000  4 Pd 2.70, 4 Pb 2.79

=====

Computed DOS at the Fermi energy (states/eV/cell) in order:
3.4; 2.4
Computed E_tot (eV/atom) in order:
-22.134; -46.046
Computed DFT formation energy (eV per atom) in order:
-0.03; 0.08